This record from Alexandria via LeMat-Bulk describes an optimized crystal structure of Li7Sb2S2. The functional is PBE-GGA.

E above lowest polymorph   35 meV/atom
Theoretical density   2.74 Mg/m³

a b c (Å): 7.5190 8.7146 13.1793
angles (deg): 90.00 90.00 90.00
Positions (direct):
Li (0.1696, 0.5087, 0.5441)
Li (0.1696, 0.9913, 0.5441)
Li (0.7549, 0.2500, 0.5870)
Li (0.8126, 0.7500, 0.6123)
Li (0.0516, 0.2500, 0.6829)
Li (0.5800, 0.4751, 0.7049)
Li (0.5800, 0.0249, 0.7049)
Li (0.0800, 0.5249, 0.7951)
Li (0.0800, 0.9751, 0.7951)
Li (0.5516, 0.7500, 0.8171)
Li (0.3126, 0.2500, 0.8877)
Li (0.2549, 0.7500, 0.9130)
Li (0.6696, 0.4913, 0.9559)
Li (0.6696, 0.0087, 0.9559)
Li (0.3304, 0.5087, 0.0441)
Li (0.3304, 0.9913, 0.0441)
Li (0.7451, 0.2500, 0.0870)
Li (0.6874, 0.7500, 0.1123)
Li (0.4484, 0.2500, 0.1829)
Li (0.9200, 0.4751, 0.2049)
Li (0.9200, 0.0249, 0.2049)
Li (0.4200, 0.5249, 0.2951)
Li (0.4200, 0.9751, 0.2951)
Li (0.9484, 0.7500, 0.3171)
Li (0.1874, 0.2500, 0.3877)
Li (0.2451, 0.7500, 0.4130)
Li (0.8304, 0.4913, 0.4559)
Li (0.8304, 0.0087, 0.4559)
Sb (0.4267, 0.7500, 0.5996)
Sb (0.3937, 0.2500, 0.5860)
Sb (0.8937, 0.7500, 0.9140)
Sb (0.9267, 0.2500, 0.9004)
Sb (0.0733, 0.7500, 0.0996)
Sb (0.1063, 0.2500, 0.0860)
Sb (0.6063, 0.7500, 0.4140)
Sb (0.5733, 0.2500, 0.4004)
S (0.8972, 0.0169, 0.6402)
S (0.8972, 0.4831, 0.6402)
S (0.3972, 0.9831, 0.8598)
S (0.3972, 0.5169, 0.8598)
S (0.6028, 0.0169, 0.1402)
S (0.6028, 0.4831, 0.1402)
S (0.1028, 0.9831, 0.3598)
S (0.1028, 0.5169, 0.3598)